(1)
Below is an optimized crystal structure of PmPr3Nd3Se8, with properties calculated at the PBE level.

The density of states at the Fermi level is 0.47 states/eV per atom. As for the formation energy from raw total energies: -1876.8 meV/atom. As for the mass density: 6.3 Mg/m³. For the uncorrected energy, the calculation gives -5.96 eV/atom.

The space group is R-3m (No. 166, hexagonal axes) and the conventional cell measures 8.4610, 8.4610 and 20.7624 Å, with angles of 90.00, 90.00 and 120.00 degrees. Symmetry generates all atoms from Pm at (0.0000, 0.0000, 0.0000), Pr at (0.0000, 0.5000, 0.5000), Nd at (0.0000, 0.5000, 0.0000), Se at (0.0000, 0.0000, 0.2510) and Se at (0.0020, 0.5010, 0.2505).

---

(2)
Below is an optimized crystal structure of HoThIrI, with properties calculated at the PBE level.

The density of states at the Fermi level is 0.67 states/eV per atom. As for the formation energy from raw total energies: -956.1 meV/atom. As for the mass density: 9.6 Mg/m³. For the uncorrected energy, the calculation gives -6.56 eV/atom.

The space group is R3m (No. 160, hexagonal axes) and the conventional cell measures 4.1850, 4.1850 and 24.4122 Å, with angles of 90.00, 90.00 and 120.00 degrees. Symmetry generates all atoms from Ho at (0.0000, 0.0000, 0.0000), Th at (0.0000, 0.0000, 0.2165), Ir at (0.0000, 0.0000, 0.6076) and I at (0.0000, 0.0000, 0.7754).

---

(3)
Below is an optimized crystal structure of Na3BrCl2, with properties calculated at the PBE level.

The density of states at the Fermi level is 0.00 states/eV per atom. As for the formation energy from raw total energies: -1718.8 meV/atom. As for the mass density: 2.5 Mg/m³. The distance to the lowest polymorph of the same formula is 0.00 eV per formula unit. For the uncorrected energy, the calculation gives -3.27 eV/atom.

The space group is P-3m1 (No. 164) and the conventional cell measures 4.1018, 4.1018 and 10.0650 Å, with angles of 90.00, 90.00 and 120.00 degrees. Symmetry generates all atoms from Na at (0.0000, 0.0000, 0.0000), Na at (0.3333, 0.6667, 0.6783), Br at (0.0000, 0.0000, 0.5000) and Cl at (0.3333, 0.6667, 0.1609).

---

> The highest formation energy from raw total energies belongs to which entry?

HoThIrI